# 1
Entry from Alexandria: Be3Ag4P3BrO12 after structural relaxation (PBE).

Properties
Formation energy (no corrections)   -1.841 eV per atom
DOS(E_F)   0.00 states/eV per cell
Symmetry   P-43n
V   14.029 Å³/atom

Cell: 8.642 8.642 8.642 Å, 90.00 90.00 90.00°
Sites, in units of the cell vectors:
1 P 0.500 0.000 0.750
2 P 0.000 0.750 0.500
3 P 0.000 0.250 0.500
4 P 0.500 0.000 0.250
5 P 0.250 0.500 0.000
6 P 0.750 0.500 0.000
7 O 0.359 0.953 0.350
8 O 0.650 0.641 0.953
9 O 0.150 0.547 0.859
10 O 0.641 0.047 0.350
11 O 0.141 0.150 0.453
12 O 0.850 0.453 0.859
13 O 0.453 0.859 0.850
14 O 0.547 0.859 0.150
15 O 0.453 0.141 0.150
16 O 0.359 0.047 0.650
17 O 0.350 0.359 0.953
18 O 0.047 0.350 0.641
19 O 0.650 0.359 0.047
20 O 0.141 0.850 0.547
21 O 0.859 0.850 0.453
22 O 0.859 0.150 0.547
23 O 0.350 0.641 0.047
24 O 0.047 0.650 0.359
25 O 0.641 0.953 0.650
26 O 0.953 0.650 0.641
27 O 0.850 0.547 0.141
28 O 0.953 0.350 0.359
29 O 0.547 0.141 0.850
30 O 0.150 0.453 0.141
31 Ag 0.827 0.827 0.173
32 Ag 0.173 0.827 0.827
33 Ag 0.673 0.673 0.673
34 Ag 0.827 0.173 0.827
35 Ag 0.173 0.173 0.173
36 Ag 0.327 0.327 0.673
37 Ag 0.327 0.673 0.327
38 Ag 0.673 0.327 0.327
39 Be 0.500 0.250 0.000
40 Be 0.250 0.000 0.500
41 Be 0.750 0.000 0.500
42 Be 0.000 0.500 0.250
43 Be 0.000 0.500 0.750
44 Be 0.500 0.750 0.000
45 Br 0.500 0.500 0.500
46 Br 0.000 0.000 0.000

---

# 2
Entry from Alexandria: NiBi3I after structural relaxation (PBE).

Properties
Formation energy (no corrections)   -0.140 eV per atom
DOS(E_F)   4.20 states/eV per cell
Symmetry   P2_1/m
V   31.473 Å³/atom
Energy above the most stable polymorph in this dataset   0.000 eV/atom

Cell: 4.111 9.240 9.470 Å, 118.95 89.99 89.99°
Sites, in units of the cell vectors:
1 I 0.695 0.042 0.536
2 I 0.195 0.380 0.018
3 Bi 0.695 0.992 0.900
4 Bi 0.696 0.425 0.374
5 Bi 0.195 0.997 0.180
6 Bi 0.196 0.743 0.557
7 Bi 0.196 0.429 0.654
8 Bi 0.695 0.678 0.997
9 Ni 0.696 0.642 0.692
10 Ni 0.195 0.779 0.862

---

# 3
Entry from Alexandria: AcCd2Sn after structural relaxation (PBE).

Properties
DOS(E_F)   4.99 states/eV per cell
Symmetry   Cmcm
V   28.858 Å³/atom
DFT formation energy   -154 kJ/mol of formula units

Cell: 4.900 10.224 9.537 Å, 90.00 104.89 90.00°
Sites, in units of the cell vectors:
1 Ac 0.500 0.500 0.000
2 Ac 0.697 0.250 0.395
3 Ac 0.500 0.000 0.000
4 Ac 0.303 0.750 0.605
5 Cd 0.952 0.750 0.905
6 Cd 0.899 0.250 0.797
7 Cd 0.311 0.110 0.621
8 Cd 0.311 0.390 0.621
9 Cd 0.048 0.250 0.095
10 Cd 0.689 0.610 0.379
11 Cd 0.689 0.890 0.379
12 Cd 0.101 0.750 0.203
13 Sn 0.147 0.470 0.294
14 Sn 0.853 0.970 0.706
15 Sn 0.853 0.530 0.706
16 Sn 0.147 0.030 0.294

---

# 4
Entry from Alexandria: SrLiAl4 after structural relaxation (PBE).

Properties
DOS(E_F)   2.34 states/eV per cell
Symmetry   F-43m
V   21.411 Å³/atom
DFT formation energy   -75 kJ/mol of formula units

Cell: 5.664 5.664 5.664 Å, 60.00 60.00 60.00°
Sites, in units of the cell vectors:
1 Al 0.625 0.625 0.125
2 Al 0.125 0.625 0.625
3 Al 0.625 0.625 0.625
4 Al 0.625 0.125 0.625
5 Sr 0.000 0.000 0.000
6 Li 0.250 0.250 0.250

---

# 5
Entry from Alexandria: Ti2MnAsPt after structural relaxation (PBE).

Properties
DOS(E_F)   7.21 states/eV per cell
Symmetry   P4/mmm
V   17.948 Å³/atom
DFT formation energy   155 kJ/mol of formula units

Cell: 4.400 4.636 4.400 Å, 90.00 90.00 90.00°
Sites, in units of the cell vectors:
1 Pt 0.000 0.500 0.000
2 Mn 0.000 0.000 0.000
3 As 0.500 0.500 0.500
4 Ti 0.000 0.000 0.500
5 Ti 0.500 0.000 0.000

---

# 6
Entry from Alexandria: ReRh after structural relaxation (PBE).

Properties
DOS(E_F)   3.53 states/eV per cell
Symmetry   Pm-3m
V   14.877 Å³/atom
DFT formation energy   105 kJ/mol of formula units
Energy above the most stable polymorph in this dataset   0.722 eV/atom

Cell: 3.099 3.099 3.099 Å, 90.00 90.00 90.00°
Sites, in units of the cell vectors:
1 Rh 0.500 0.500 0.500
2 Re 0.000 0.000 0.000

---

# 7
Entry from Alexandria: KCrCl2 after structural relaxation (PBE).

Properties
Formation energy (no corrections)   -0.989 eV per atom
DOS(E_F)   1.00 states/eV per cell
Symmetry   P-4m2
V   26.998 Å³/atom
Energy above the most stable polymorph in this dataset   0.000 eV/atom

Cell: 5.119 4.121 5.119 Å, 90.00 90.00 90.00°
Each line ends with the local moment (μB).
Sites, in units of the cell vectors:
1 Cl 0.500 0.258 0.375  0.01
2 Cl 0.000 0.242 0.875  0.01
3 Cr 0.000 0.250 0.375  4.15
4 K 0.500 0.750 0.875  0.00

---

# 8
Entry from Alexandria: TaCo2Se after structural relaxation (PBE).

Properties
Formation energy (no corrections)   0.126 eV per atom
DOS(E_F)   3.75 states/eV per cell
Symmetry   Pmmm
V   13.700 Å³/atom

Cell: 3.121 4.364 4.024 Å, 90.00 90.00 90.00°
Sites, in units of the cell vectors:
1 Se 0.500 0.000 0.500
2 Co 0.500 0.500 0.000
3 Co 0.000 0.000 0.000
4 Ta 0.000 0.500 0.500

---

# 9
Entry from Alexandria: Ac2GaSb3Rh4 after structural relaxation (PBE).

Properties
Formation energy (no corrections)   -0.844 eV per atom
DOS(E_F)   7.55 states/eV per cell
Symmetry   P-4m2
V   22.133 Å³/atom

Cell: 4.545 4.545 10.715 Å, 90.00 90.00 90.00°
Sites, in units of the cell vectors:
1 Ga 0.500 0.500 0.500
2 Sb 0.000 0.500 0.131
3 Sb 0.000 0.000 0.500
4 Sb 0.500 0.000 0.869
5 Rh 0.500 0.000 0.623
6 Rh 0.000 0.000 0.000
7 Rh 0.500 0.500 0.000
8 Rh 0.000 0.500 0.377
9 Ac 0.000 0.500 0.744
10 Ac 0.500 0.000 0.256

---

# 10
Entry from Alexandria: NpPaV after structural relaxation (PBE).

Properties
DOS(E_F)   14.30 states/eV per cell
Symmetry   C2/m
V   18.680 Å³/atom
DFT formation energy   66 kJ/mol of formula units
Energy above the most stable polymorph in this dataset   0.000 eV/atom

Cell: 4.713 4.715 5.576 Å, 93.13 115.00 90.00°
Each line ends with the local moment (μB).
Sites, in units of the cell vectors:
1 Pa 0.254 0.243 0.508  0.09
2 Pa 0.746 0.757 0.492  0.09
3 Np 0.085 0.694 0.170  0.87
4 Np 0.915 0.306 0.830  0.87
5 V 0.564 0.246 0.128  -0.14
6 V 0.436 0.754 0.872  -0.14

---

# 11
Entry from Alexandria: Nd3DyY3Te8 after structural relaxation (PBE).

Properties
Formation energy (no corrections)   -1.419 eV per atom
DOS(E_F)   7.07 states/eV per cell
Symmetry   R-3m
V   32.403 Å³/atom

Cell: 8.805 8.805 8.846 Å, 119.85 90.00 120.00°
Sites, in units of the cell vectors:
1 Te 0.741 0.993 0.745
2 Te 0.748 0.496 0.255
3 Te 0.254 0.507 0.261
4 Te 0.748 0.007 0.255
5 Te 0.252 0.993 0.745
6 Te 0.252 0.504 0.745
7 Te 0.259 0.007 0.255
8 Te 0.746 0.493 0.739
9 Y 0.500 0.000 0.500
10 Y 0.000 0.500 0.500
11 Y 0.500 0.500 0.500
12 Nd 0.500 0.500 0.000
13 Nd 0.000 0.500 0.000
14 Nd 0.000 0.000 0.000
15 Dy 0.000 0.000 0.500

---

# 12
Entry from Alexandria: PmZr2Zn after structural relaxation (PBE).

Properties
DOS(E_F)   3.31 states/eV per cell
Symmetry   P4/mmm
V   22.837 Å³/atom
DFT formation energy   5 kJ/mol of formula units
Energy above the most stable polymorph in this dataset   0.038 eV/atom

Cell: 4.517 4.497 4.497 Å, 90.00 90.00 90.00°
Sites, in units of the cell vectors:
1 Zn 0.500 0.500 0.500
2 Zr 0.000 0.000 0.500
3 Zr 0.000 0.500 0.000
4 Pm 0.500 0.000 0.000

---

# 13
Entry from Alexandria: Ag4SnS5 after structural relaxation (PBE).

Properties
Formation energy (no corrections)   -0.087 eV per atom
DOS(E_F)   3.50 states/eV per cell
Symmetry   I4/m
V   19.763 Å³/atom

Cell: 5.281 6.663 6.663 Å, 80.97 66.66 66.66°
Sites, in units of the cell vectors:
1 S 0.714 0.217 0.356
2 S 0.288 0.783 0.644
3 S 0.501 0.000 0.000
4 S 0.071 0.644 0.217
5 S 0.931 0.356 0.783
6 Ag 0.211 0.182 0.399
7 Ag 0.392 0.399 0.818
8 Ag 0.792 0.818 0.601
9 Ag 0.610 0.601 0.182
10 Sn 0.001 0.000 0.000

---

# 14
Entry from Alexandria: DyMn10Si2 after structural relaxation (PBE).

Properties
Formation energy (no corrections)   -0.202 eV per atom
DOS(E_F)   25.46 states/eV per cell
Symmetry   Cmcm
V   12.288 Å³/atom

Cell: 6.318 6.318 8.100 Å, 90.00 90.00 98.83°
Each line ends with the local moment (μB).
Sites, in units of the cell vectors:
1 Mn 0.214 0.214 0.000  1.59
2 Mn 0.824 0.176 0.109  0.12
3 Mn 0.476 0.258 0.250  -0.62
4 Mn 0.604 0.396 0.565  -0.72
5 Mn 0.176 0.824 0.891  0.12
6 Mn 0.824 0.176 0.391  0.12
7 Mn 0.396 0.604 0.435  -0.72
8 Mn 0.126 0.369 0.250  -0.42
9 Mn 0.396 0.604 0.065  -0.72
10 Mn 0.786 0.786 0.000  1.59
11 Mn 0.874 0.631 0.750  -0.42
12 Mn 0.369 0.126 0.750  -0.42
13 Mn 0.258 0.476 0.750  -0.62
14 Mn 0.742 0.524 0.250  -0.62
15 Mn 0.524 0.742 0.750  -0.62
16 Mn 0.604 0.396 0.935  -0.72
17 Mn 0.631 0.874 0.250  -0.42
18 Mn 0.786 0.786 0.500  1.59
19 Mn 0.214 0.214 0.500  1.59
20 Mn 0.176 0.824 0.609  0.12
21 Si 0.500 0.000 0.500  0.01
22 Si 0.500 0.000 0.000  0.01
23 Si 0.000 0.500 0.500  0.01
24 Si 0.000 0.500 0.000  0.01
25 Dy 0.870 0.130 0.750  0.00
26 Dy 0.130 0.870 0.250  0.00

---

# 15
Entry from Alexandria: PmErGa2Cu2 after structural relaxation (PBE).

Properties
DOS(E_F)   6.22 states/eV per cell
Symmetry   P-3m1
V   19.901 Å³/atom
DFT formation energy   -282 kJ/mol of formula units

Cell: 4.364 4.364 7.241 Å, 90.00 90.00 120.00°
Sites, in units of the cell vectors:
1 Ga 0.667 0.333 0.732
2 Ga 0.333 0.667 0.268
3 Cu 0.333 0.667 0.723
4 Cu 0.667 0.333 0.277
5 Pm 0.000 0.000 0.000
6 Er 0.000 0.000 0.500

---

# 16
Entry from Alexandria: Na2ThI2O2 after structural relaxation (PBE).

Properties
Formation energy (no corrections)   -2.109 eV per atom
DOS(E_F)   0.00 states/eV per cell
Symmetry   I4/mmm
V   28.837 Å³/atom

Cell: 4.491 4.491 10.498 Å, 102.35 102.35 90.00°
Sites, in units of the cell vectors:
1 O 0.500 0.000 0.000
2 O 0.000 0.500 0.000
3 Na 0.402 0.402 0.803
4 Na 0.598 0.598 0.197
5 Th 0.000 0.000 0.000
6 I 0.839 0.839 0.678
7 I 0.161 0.161 0.322

---

# 17
Entry from Alexandria: Si2NiHg after structural relaxation (PBE).

Properties
Formation energy (no corrections)   0.477 eV per atom
DOS(E_F)   2.80 states/eV per cell
Symmetry   I-4m2
V   15.656 Å³/atom

Cell: 4.849 4.849 4.849 Å, 131.50 131.50 71.02°
Sites, in units of the cell vectors:
1 Hg 0.500 0.500 0.000
2 Si 0.000 0.000 0.000
3 Si 0.250 0.750 0.500
4 Ni 0.750 0.250 0.500

---

# 18
Entry from Alexandria: Pm2ThZr after structural relaxation (PBE).

Properties
DOS(E_F)   6.02 states/eV per cell
Symmetry   R3m
V   30.491 Å³/atom
DFT formation energy   57 kJ/mol of formula units
Energy above the most stable polymorph in this dataset   0.009 eV/atom

Cell: 3.492 3.492 11.722 Å, 81.43 81.43 60.00°
Sites, in units of the cell vectors:
1 Th 0.501 0.501 0.498
2 Pm 0.255 0.255 0.235
3 Pm 0.078 0.078 0.767
4 Zr 0.667 0.667 0.000

---

# 19
Entry from Alexandria: Ce5DySb3 after structural relaxation (PBE).

Properties
Formation energy (no corrections)   -0.641 eV per atom
DOS(E_F)   52.46 states/eV per cell
Symmetry   P6_3/mcm
V   27.936 Å³/atom

Cell: 9.454 9.454 6.496 Å, 90.00 90.00 120.00°
Each line ends with the local moment (μB).
Sites, in units of the cell vectors:
1 Ce 0.665 0.665 0.750  0.69
2 Ce 0.333 0.667 0.500  0.83
3 Ce 0.667 0.333 0.000  0.83
4 Ce 0.000 0.665 0.250  0.69
5 Ce 0.665 0.000 0.250  0.69
6 Ce 0.335 0.000 0.750  0.69
7 Ce 0.335 0.335 0.250  0.69
8 Ce 0.333 0.667 0.000  0.83
9 Ce 0.000 0.335 0.750  0.69
10 Ce 0.667 0.333 0.500  0.83
11 Sb 0.000 0.333 0.250  -0.02
12 Sb 0.000 0.667 0.750  -0.02
13 Sb 0.667 0.000 0.750  -0.02
14 Sb 0.333 0.000 0.250  -0.02
15 Sb 0.667 0.667 0.250  -0.02
16 Sb 0.333 0.333 0.750  -0.02
17 Dy 0.000 0.000 0.500  0.38
18 Dy 0.000 0.000 0.000  0.38

---

# 20
Entry from Alexandria: InAg2Cl after structural relaxation (PBE).

Properties
Formation energy (no corrections)   -0.118 eV per atom
DOS(E_F)   1.06 states/eV per cell
Symmetry   C2/m
V   22.808 Å³/atom

Cell: 5.302 5.302 6.086 Å, 65.77 65.77 36.25°
Sites, in units of the cell vectors:
1 Ag 0.491 0.491 0.453
2 Ag 0.009 0.009 0.047
3 In 0.250 0.250 0.250
4 Cl 0.750 0.750 0.750

---

# 21
Entry from Alexandria: Na3In2Ga4 after structural relaxation (PBE).

Properties
DOS(E_F)   2.83 states/eV per cell
Symmetry   C2/m
V   22.890 Å³/atom
DFT formation energy   -91 kJ/mol of formula units
Energy above the most stable polymorph in this dataset   0.000 eV/atom

Cell: 4.829 5.879 8.440 Å, 74.17 73.38 65.75°
Sites, in units of the cell vectors:
1 Na 0.313 0.724 0.650
2 Na 0.687 0.276 0.350
3 Na 0.000 0.000 0.000
4 Ga 0.254 0.421 0.072
5 Ga 0.003 0.348 0.645
6 Ga 0.997 0.652 0.355
7 Ga 0.746 0.579 0.928
8 In 0.423 0.906 0.248
9 In 0.577 0.094 0.752

---

# 22
Entry from Alexandria: Ce3InCu after structural relaxation (PBE).

Properties
DOS(E_F)   24.15 states/eV per cell
Symmetry   C2/m
V   24.887 Å³/atom
DFT formation energy   -82 kJ/mol of formula units

Cell: 4.228 5.317 11.386 Å, 81.84 100.70 90.00°
Each line ends with the local moment (μB).
Sites, in units of the cell vectors:
1 In 0.558 0.770 0.116  0.00
2 In 0.442 0.230 0.884  0.00
3 Ce 0.179 0.689 0.358  0.56
4 Ce 0.821 0.311 0.642  0.56
5 Ce 0.939 0.742 0.878  0.35
6 Ce 0.644 0.223 0.289  0.31
7 Ce 0.356 0.777 0.711  0.31
8 Ce 0.061 0.258 0.122  0.35
9 Cu 0.760 0.860 0.519  0.00
10 Cu 0.240 0.140 0.481  0.00